The following is a DFT calculation (PBE) of La2Sn3Hg2 after structural relaxation.

Calculated values
Total DFT energy (no corrections): -3.574 eV/atom

```
La2Sn3Hg2
1.0
2.556 1.476 9.398
-2.556 1.476 9.398
0.000 -2.952 9.398
La Sn Hg
2 3 2
direct
0.000 0.000 0.000
0.476 0.476 0.476
0.364 0.364 0.364
0.599 0.599 0.599
0.884 0.884 0.884
0.186 0.186 0.186
0.746 0.746 0.746
```


The following is a DFT calculation (PBE) of LaSn2Hg after structural relaxation.

Calculated values
Total DFT energy (no corrections): -3.851 eV/atom

```
LaSn2Hg
1.0
4.812 0.000 0.000
0.000 4.812 0.000
0.000 0.000 4.669
La Sn Hg
1 2 1
direct
0.000 0.000 0.000
0.000 0.500 0.500
0.500 0.000 0.500
0.500 0.500 0.000
```


The following is a DFT calculation (PBE) of Sr2LaHg3 after structural relaxation.

Calculated values
Total DFT energy (no corrections): -2.060 eV/atom

```
Sr2LaHg3
1.0
3.950 0.000 0.000
0.000 3.950 0.000
0.000 0.000 11.884
Sr La Hg
2 1 3
direct
0.000 0.000 0.169
0.000 0.000 0.831
0.000 0.000 0.500
0.500 0.500 0.000
0.500 0.500 0.344
0.500 0.500 0.656
```


The following is a DFT calculation (PBE) of SrLa2Hg3 after structural relaxation.

Calculated values
Total DFT energy (no corrections): -2.591 eV/atom

```
SrLa2Hg3
1.0
3.907 0.000 0.000
0.000 3.907 0.000
0.000 0.000 11.905
Sr La Hg
1 2 3
direct
0.000 0.000 0.000
0.000 0.000 0.337
0.000 0.000 0.663
0.500 0.500 0.178
0.500 0.500 0.500
0.500 0.500 0.822
```


The following is a DFT calculation (PBE) of LaTb2Hg5 after structural relaxation.

Calculated values
Total DFT energy (no corrections): -2.422 eV/atom
ΔE_f: -0.4638 eV/atom

```
LaTb2Hg5
1.0
-2.644 2.644 7.391
2.644 -2.644 7.391
2.644 2.644 -7.391
La Tb Hg
1 2 5
direct
0.000 0.000 0.000
0.269 0.269 0.000
0.731 0.731 0.000
0.130 0.630 0.500
0.370 0.870 0.500
0.500 0.500 0.000
0.630 0.130 0.500
0.870 0.370 0.500
```


The following is a DFT calculation (PBE) of La4TcHg after structural relaxation.

Calculated values
Total DFT energy (no corrections): -5.290 eV/atom
ΔE_f: -0.2322 eV/atom

```
La4TcHg
1.0
4.526 -6.625 0.000
4.526 6.625 0.000
-1.978 0.000 6.150
La Tc Hg
8 2 2
direct
0.060 0.726 0.953
0.206 0.368 0.606
0.274 0.940 0.547
0.368 0.206 0.106
0.632 0.794 0.894
0.726 0.060 0.453
0.794 0.632 0.394
0.940 0.274 0.047
0.003 0.997 0.250
0.997 0.003 0.750
0.376 0.624 0.250
0.624 0.376 0.750
```


The following is a DFT calculation (PBE) of LaTlHgTe3 after structural relaxation.

Calculated values
Total DFT energy (no corrections): -3.639 eV/atom
Polymorph energy (0 for the lowest one): 0 meV/atom

```
LaTlHgTe3
1.0
11.988 0.000 0.000
0.000 4.587 0.000
0.000 0.000 15.355
La Tl Hg Te
4 4 4 12
direct
0.012 0.250 0.245
0.488 0.750 0.745
0.512 0.250 0.255
0.988 0.750 0.755
0.227 0.750 0.510
0.273 0.250 0.010
0.727 0.750 0.990
0.773 0.250 0.490
0.241 0.250 0.717
0.259 0.750 0.217
0.741 0.250 0.783
0.759 0.750 0.283
0.044 0.250 0.613
0.072 0.750 0.103
0.240 0.750 0.836
0.260 0.250 0.336
0.428 0.250 0.603
0.456 0.750 0.113
0.544 0.250 0.887
0.572 0.750 0.397
0.740 0.750 0.664
0.760 0.250 0.164
0.928 0.250 0.897
0.956 0.750 0.387
```


The following is a DFT calculation (PBE) of LaTlHgTe3 after structural relaxation.

Calculated values
Total DFT energy (no corrections): -3.547 eV/atom
Polymorph energy (0 for the lowest one): 92 meV/atom

```
LaTlHgTe3
1.0
9.974 -2.287 0.000
9.974 2.287 0.000
-2.292 0.000 9.275
La Tl Hg Te
2 2 2 6
direct
0.172 0.172 0.095
0.828 0.828 0.905
0.131 0.131 0.584
0.869 0.869 0.416
0.461 0.461 0.776
0.539 0.539 0.224
0.000 0.000 0.000
0.314 0.314 0.662
0.335 0.335 0.138
0.500 0.500 0.500
0.665 0.665 0.862
0.686 0.686 0.338
```


The following is a DFT calculation (PBE) of LaTlHgTe3 after structural relaxation.

Calculated values
Total DFT energy (no corrections): -3.637 eV/atom
Polymorph energy (0 for the lowest one): 1 meV/atom

```
LaTlHgTe3
1.0
2.277 -7.732 0.000
2.277 7.732 0.000
0.000 0.000 11.951
La Tl Hg Te
2 2 2 6
direct
0.000 0.000 0.000
0.000 0.000 0.500
0.241 0.759 0.750
0.759 0.241 0.250
0.464 0.536 0.250
0.536 0.464 0.750
0.084 0.916 0.250
0.357 0.643 0.057
0.357 0.643 0.443
0.643 0.357 0.557
0.643 0.357 0.943
0.916 0.084 0.750
```


The following is a DFT calculation (PBE) of LaTlHgTe3 after structural relaxation.

Calculated values
Total DFT energy (no corrections): -3.609 eV/atom
Polymorph energy (0 for the lowest one): 29 meV/atom

```
LaTlHgTe3
1.0
12.686 0.000 0.000
0.000 4.747 0.000
0.000 0.000 13.525
La Tl Hg Te
4 4 4 12
direct
0.023 0.250 0.190
0.477 0.750 0.690
0.523 0.250 0.310
0.977 0.750 0.810
0.188 0.250 0.488
0.312 0.750 0.988
0.688 0.250 0.012
0.812 0.750 0.512
0.246 0.750 0.295
0.254 0.250 0.795
0.746 0.750 0.205
0.754 0.250 0.705
0.033 0.750 0.356
0.089 0.250 0.938
0.215 0.750 0.677
0.285 0.250 0.177
0.411 0.750 0.438
0.467 0.250 0.856
0.533 0.750 0.144
0.589 0.250 0.562
0.715 0.750 0.823
0.785 0.250 0.323
0.911 0.750 0.062
0.967 0.250 0.644
```


The following is a DFT calculation (PBE) of LaTlHgTe3 after structural relaxation.

Calculated values
Total DFT energy (no corrections): -3.613 eV/atom
Polymorph energy (0 for the lowest one): 26 meV/atom

```
LaTlHgTe3
1.0
15.179 0.000 0.000
0.000 4.604 0.000
0.000 0.000 12.234
La Tl Hg Te
4 4 4 12
direct
0.029 0.250 0.161
0.471 0.750 0.661
0.529 0.250 0.339
0.971 0.750 0.839
0.238 0.250 0.455
0.262 0.750 0.955
0.738 0.250 0.045
0.762 0.750 0.545
0.020 0.750 0.391
0.480 0.250 0.891
0.520 0.750 0.109
0.980 0.250 0.609
0.097 0.750 0.618
0.104 0.250 0.919
0.164 0.750 0.242
0.336 0.250 0.742
0.396 0.750 0.419
0.403 0.250 0.118
0.597 0.750 0.882
0.604 0.250 0.581
0.664 0.750 0.258
0.836 0.250 0.758
0.896 0.750 0.081
0.903 0.250 0.382
```


The following is a DFT calculation (PBE) of LaTlHgTe3 after structural relaxation.

Calculated values
Total DFT energy (no corrections): -3.611 eV/atom
Polymorph energy (0 for the lowest one): 28 meV/atom

```
LaTlHgTe3
1.0
8.826 0.000 0.000
0.000 4.607 0.000
-2.842 0.000 10.758
La Tl Hg Te
2 2 2 6
direct
0.199 0.250 0.141
0.801 0.750 0.859
0.240 0.750 0.711
0.760 0.250 0.289
0.414 0.750 0.382
0.586 0.250 0.618
0.050 0.250 0.846
0.252 0.250 0.450
0.457 0.750 0.138
0.543 0.250 0.862
0.748 0.750 0.550
0.950 0.750 0.154
```


The following is a DFT calculation (PBE) of LaThHg after structural relaxation.

Calculated values
Total DFT energy (no corrections): -4.130 eV/atom
Polymorph energy (0 for the lowest one): 0 meV/atom
ΔE_f: 0.0814 eV/atom

```
LaThHg
1.0
0.000 3.726 3.726
3.726 0.000 3.726
3.726 3.726 0.000
La Th Hg
1 1 1
direct
0.000 0.000 0.000
0.500 0.500 0.500
0.250 0.250 0.250
```


The following is a DFT calculation (PBE) of LaTlHg2 after structural relaxation.

Calculated values
Total DFT energy (no corrections): -2.312 eV/atom

```
LaTlHg2
1.0
0.000 3.760 3.760
3.760 0.000 3.760
3.760 3.760 0.000
La Tl Hg
1 1 2
direct
0.000 0.000 0.000
0.750 0.750 0.750
0.250 0.250 0.250
0.500 0.500 0.500
```


The following is a DFT calculation (PBE) of LaTlHg after structural relaxation.

Calculated values
Total DFT energy (no corrections): -2.934 eV/atom

```
LaTlHg
1.0
0.000 3.595 3.595
3.595 0.000 3.595
3.595 3.595 0.000
La Tl Hg
1 1 1
direct
0.000 0.000 0.000
0.500 0.500 0.500
0.250 0.250 0.250
```


The following is a DFT calculation (PBE) of LaYTl2Hg2 after structural relaxation.

Calculated values
Total DFT energy (no corrections): -3.180 eV/atom
Polymorph energy (0 for the lowest one): 14 meV/atom

```
LaYTl2Hg2
1.0
4.937 0.000 0.000
-2.469 4.276 0.000
0.000 0.000 7.728
La Y Tl Hg
1 1 2 2
direct
0.000 0.000 0.000
0.000 0.000 0.499
0.333 0.667 0.708
0.667 0.333 0.219
0.333 0.667 0.313
0.667 0.333 0.794
```


The following is a DFT calculation (PBE) of LaYTl2Hg2 after structural relaxation.

Calculated values
Total DFT energy (no corrections): -3.193 eV/atom
Polymorph energy (0 for the lowest one): 0 meV/atom

```
LaYTl2Hg2
1.0
5.339 0.000 0.000
-2.670 4.624 0.000
0.000 0.000 6.628
La Y Tl Hg
1 1 2 2
direct
0.000 0.000 0.000
0.333 0.667 0.500
0.667 0.333 0.252
0.667 0.333 0.748
0.000 0.000 0.500
0.333 0.667 0.000
```


The following is a DFT calculation (PBE) of LaTmHg6 after structural relaxation.

Calculated values
Total DFT energy (no corrections): -1.752 eV/atom
ΔE_f: -0.3539 eV/atom

```
LaTmHg6
1.0
6.669 0.000 0.000
-3.334 5.775 0.000
0.000 0.000 5.048
La Tm Hg
1 1 6
direct
0.000 0.000 0.000
0.333 0.667 0.500
0.004 0.502 0.000
0.345 0.172 0.500
0.498 0.502 0.000
0.498 0.996 0.000
0.828 0.172 0.500
0.828 0.655 0.500
```


The following is a DFT calculation (PBE) of LaTmHg after structural relaxation.

Calculated values
Total DFT energy (no corrections): -3.336 eV/atom
Polymorph energy (0 for the lowest one): 0 meV/atom
ΔE_f: -0.1046 eV/atom

```
LaTmHg
1.0
0.000 3.674 3.674
3.674 0.000 3.674
3.674 3.674 0.000
La Tm Hg
1 1 1
direct
0.000 0.000 0.000
0.500 0.500 0.500
0.250 0.250 0.250
```


The following is a DFT calculation (PBE) of LaUHg after structural relaxation.

Calculated values
Total DFT energy (no corrections): -4.919 eV/atom
Polymorph energy (0 for the lowest one): 0 meV/atom
ΔE_f: 0.5867 eV/atom

```
LaUHg
1.0
0.000 3.685 3.685
3.685 0.000 3.685
3.685 3.685 0.000
La U Hg
1 1 1
direct
0.000 0.000 0.000
0.500 0.500 0.500
0.250 0.250 0.250
```


no.,mass density (Mg/m³)
1,8.08
2,8.86
3,8.20
4,8.84
5,11.73
6,7.69
7,7.29
8,7.27
9,7.31
10,7.56
11,7.20
12,7.04
13,9.17
14,11.63
15,9.72
16,10.56
17,10.53
18,12.91
19,8.51
20,9.58